(1)
# EuPuSi2 (PBE, relaxed)
data_EuPuSi2
_chemical_formula_sum 'Eu1 Pu1 Si2'
_symmetry_space_group_name_H-M 'P 1'
_symmetry_Int_Tables_number 1
_symmetry_space_group_name_Hall 'P 1'
_cell_length_a 5.0137
_cell_length_b 5.0137
_cell_length_c 5.0117
_cell_angle_alpha 59.99
_cell_angle_beta 59.99
_cell_angle_gamma 60.00
loop_
_atom_site_label
_atom_site_fract_x
_atom_site_fract_y
_atom_site_fract_z
Eu1 0.5000 0.5000 0.5000
Si1 0.7501 0.7501 0.7498
Pu1 0.0000 0.0000 0.0000
Si2 0.2499 0.2499 0.2502
# Formation energy without anion corrections: -0.23 eV/atom
# Crystal system: cubic

(2)
# HgO5 (PBE, relaxed)
data_HgO5
_chemical_formula_sum 'Hg1 O5'
_symmetry_space_group_name_H-M 'P 1'
_symmetry_Int_Tables_number 1
_symmetry_space_group_name_Hall 'P 1'
_cell_length_a 3.5520
_cell_length_b 3.8468
_cell_length_c 16.9636
_cell_angle_alpha 128.34
_cell_angle_beta 90.00
_cell_angle_gamma 117.50
loop_
_atom_site_label
_atom_site_fract_x
_atom_site_fract_y
_atom_site_fract_z
O1 0.9425 0.8849 0.4044
O2 0.3152 0.6304 0.6579
O3 0.5638 0.1276 0.7412
O4 0.3083 0.6165 0.0253
Hg1 0.9992 0.9984 0.0250
O5 0.7044 0.4088 0.3129
# Formation energy without anion corrections: -0.01 eV/atom
# Crystal system: monoclinic

(3)
# TeAs2Pt (PBE, relaxed)
data_TeAs2Pt
_chemical_formula_sum 'Te1 As2 Pt1'
_symmetry_space_group_name_H-M 'P 1'
_symmetry_Int_Tables_number 1
_symmetry_space_group_name_Hall 'P 1'
_cell_length_a 3.8862
_cell_length_b 4.7995
_cell_length_c 4.8020
_cell_angle_alpha 70.16
_cell_angle_beta 90.00
_cell_angle_gamma 90.00
loop_
_atom_site_label
_atom_site_fract_x
_atom_site_fract_y
_atom_site_fract_z
Te1 0.5000 0.7276 0.7279
Pt1 0.0000 0.4880 0.4876
As1 0.5000 0.2731 0.2727
As2 0.0000 0.0114 0.0118
# Formation energy without anion corrections: -0.07 eV/atom
# Crystal system: orthorhombic

(4)
# Tb2BRh4 (PBE, relaxed)
data_Tb2BRh4
_chemical_formula_sum 'Tb2 B1 Rh4'
_symmetry_space_group_name_H-M 'P 1'
_symmetry_Int_Tables_number 1
_symmetry_space_group_name_Hall 'P 1'
_cell_length_a 4.2025
_cell_length_b 4.2025
_cell_length_c 7.5554
_cell_angle_alpha 73.85
_cell_angle_beta 73.85
_cell_angle_gamma 90.00
loop_
_atom_site_label
_atom_site_fract_x
_atom_site_fract_y
_atom_site_fract_z
Rh1 0.0000 0.5000 0.0000
Rh2 0.8523 0.8523 0.2953
Rh3 0.5000 0.0000 0.0000
Tb1 0.3494 0.3494 0.3012
Rh4 0.1477 0.1477 0.7047
B1 0.0000 0.0000 0.0000
Tb2 0.6506 0.6506 0.6988
# E_form: -0.6342 eV per atom
# Crystal system: tetragonal

(5)
# La6Pr2SmTl (PBE, relaxed)
data_La6Pr2SmTl
_chemical_formula_sum 'La12 Pr4 Sm2 Tl2'
_symmetry_space_group_name_H-M 'P 1'
_symmetry_Int_Tables_number 1
_symmetry_space_group_name_Hall 'P 1'
_cell_length_a 9.4995
_cell_length_b 8.9092
_cell_length_c 8.9092
_cell_angle_alpha 73.56
_cell_angle_beta 88.99
_cell_angle_gamma 88.99
loop_
_atom_site_label
_atom_site_fract_x
_atom_site_fract_y
_atom_site_fract_z
Pr1 0.1942 0.1833 0.3379
La1 0.9998 0.3739 0.9012
Tl1 0.2500 0.3689 0.6311
Tl2 0.7500 0.6311 0.3689
La2 0.0002 0.6261 0.0988
La3 0.1047 0.7190 0.4722
Sm1 0.7500 0.1148 0.8852
La4 0.5002 0.0988 0.6261
La5 0.8953 0.2810 0.5278
La6 0.1044 0.0082 0.7665
La7 0.3956 0.2335 0.9918
Sm2 0.2500 0.8852 0.1148
La8 0.4998 0.9012 0.3739
La9 0.6044 0.7665 0.0082
La10 0.8956 0.9918 0.2335
La11 0.6047 0.4722 0.7190
Pr2 0.8058 0.8167 0.6621
Pr3 0.6942 0.3379 0.1833
La12 0.3953 0.5278 0.2810
Pr4 0.3058 0.6621 0.8167
# E_form: 0.0132 eV per atom
# Crystal system: monoclinic

(6)
# Ho2SeBr2 (PBE, relaxed)
data_Ho2SeBr2
_chemical_formula_sum 'Ho2 Se1 Br2'
_symmetry_space_group_name_H-M 'P 1'
_symmetry_Int_Tables_number 1
_symmetry_space_group_name_Hall 'P 1'
_cell_length_a 4.0531
_cell_length_b 4.0513
_cell_length_c 11.1418
_cell_angle_alpha 80.64
_cell_angle_beta 79.52
_cell_angle_gamma 59.98
loop_
_atom_site_label
_atom_site_fract_x
_atom_site_fract_y
_atom_site_fract_z
Ho1 0.7175 0.2033 0.3617
Br1 0.5554 0.0867 0.8025
Se1 0.0000 0.5000 0.5000
Ho2 0.2825 0.7967 0.6383
Br2 0.4446 0.9133 0.1975
# Formation energy without anion corrections: -1.70 eV/atom
# Crystal system: monoclinic

(7)
# Nd2HoF11 (PBE, relaxed)
data_Nd2HoF11
_chemical_formula_sum 'Nd4 Ho2 F22'
_symmetry_space_group_name_H-M 'P 1'
_symmetry_Int_Tables_number 1
_symmetry_space_group_name_Hall 'P 1'
_cell_length_a 8.6830
_cell_length_b 8.8287
_cell_length_c 8.8287
_cell_angle_alpha 72.54
_cell_angle_beta 60.54
_cell_angle_gamma 60.54
loop_
_atom_site_label
_atom_site_fract_x
_atom_site_fract_y
_atom_site_fract_z
F1 0.3306 0.2924 0.4376
F2 0.5487 0.0202 0.6847
F3 0.5000 0.5000 0.5000
F4 0.0607 0.5624 0.7076
Nd1 0.3355 0.3092 0.6908
Nd2 0.1645 0.8092 0.1908
F5 0.7537 0.4798 0.8153
F6 0.7463 0.6847 0.0202
F7 0.1064 0.1874 0.8126
F8 0.9513 0.8153 0.4798
F9 0.4513 0.9798 0.3153
Nd3 0.6645 0.6908 0.3092
F10 0.0487 0.1847 0.5202
F11 0.6064 0.3126 0.6874
F12 0.4393 0.7924 0.9376
Ho1 0.2500 0.2500 0.2500
F13 0.3936 0.6874 0.3126
F14 0.6694 0.7076 0.5624
Ho2 0.7500 0.7500 0.7500
Nd4 0.8355 0.1908 0.8092
F15 0.5607 0.2076 0.0624
F16 0.1694 0.0624 0.2076
F17 0.0000 0.0000 0.0000
F18 0.9393 0.4376 0.2924
F19 0.2463 0.5202 0.1847
F20 0.8936 0.8126 0.1874
F21 0.2537 0.3153 0.9798
F22 0.8306 0.9376 0.7924
# Formation energy without anion corrections: -3.41 eV/atom
# Crystal system: orthorhombic

(8)
# LiAuIO2 (PBE, relaxed)
data_LiAuIO2
_chemical_formula_sum 'Li1 Au1 I1 O2'
_symmetry_space_group_name_H-M 'P 1'
_symmetry_Int_Tables_number 1
_symmetry_space_group_name_Hall 'P 1'
_cell_length_a 3.8954
_cell_length_b 3.8954
_cell_length_c 6.1609
_cell_angle_alpha 90.00
_cell_angle_beta 90.00
_cell_angle_gamma 90.00
loop_
_atom_site_label
_atom_site_fract_x
_atom_site_fract_y
_atom_site_fract_z
O1 0.5000 0.0000 0.0000
Li1 0.0000 0.0000 0.0000
I1 0.0000 0.0000 0.5000
Au1 0.5000 0.5000 0.5000
O2 0.0000 0.5000 0.0000
# Formation energy without anion corrections: 0.37 eV/atom
# Crystal system: tetragonal

(9)
# Rb3UI8 (PBE, relaxed)
data_Rb3UI8
_chemical_formula_sum 'Rb3 U1 I8'
_symmetry_space_group_name_H-M 'P 1'
_symmetry_Int_Tables_number 1
_symmetry_space_group_name_Hall 'P 1'
_cell_length_a 8.3705
_cell_length_b 8.3705
_cell_length_c 8.3705
_cell_angle_alpha 90.00
_cell_angle_beta 90.00
_cell_angle_gamma 90.00
loop_
_atom_site_label
_atom_site_fract_x
_atom_site_fract_y
_atom_site_fract_z
I1 0.2210 0.7790 0.7790
I2 0.7790 0.2210 0.7790
I3 0.7790 0.7790 0.2210
Rb1 0.5000 0.5000 0.0000
I4 0.7790 0.7790 0.7790
I5 0.2210 0.7790 0.2210
Rb2 0.0000 0.5000 0.5000
I6 0.7790 0.2210 0.2210
I7 0.2210 0.2210 0.2210
I8 0.2210 0.2210 0.7790
U1 0.0000 0.0000 0.0000
Rb3 0.5000 0.0000 0.5000
# Formation energy without anion corrections: -0.99 eV/atom
# Crystal system: cubic

(10)
# HgPdPt (PBE, relaxed)
data_HgPdPt
_chemical_formula_sum 'Hg1 Pd1 Pt1'
_symmetry_space_group_name_H-M 'P 1'
_symmetry_Int_Tables_number 1
_symmetry_space_group_name_Hall 'P 1'
_cell_length_a 2.8448
_cell_length_b 4.5917
_cell_length_c 4.5917
_cell_angle_alpha 120.00
_cell_angle_beta 90.00
_cell_angle_gamma 90.00
loop_
_atom_site_label
_atom_site_fract_x
_atom_site_fract_y
_atom_site_fract_z
Pd1 0.9787 0.0000 0.0000
Hg1 0.6563 0.6667 0.3333
Pt1 0.3651 0.3333 0.6667
# E_form: 0.0222 eV per atom
# Crystal system: trigonal

(11)
# BaTcRh (PBE, relaxed)
data_BaTcRh
_chemical_formula_sum 'Ba2 Tc2 Rh2'
_symmetry_space_group_name_H-M 'P 1'
_symmetry_Int_Tables_number 1
_symmetry_space_group_name_Hall 'P 1'
_cell_length_a 4.7773
_cell_length_b 3.9862
_cell_length_c 10.0719
_cell_angle_alpha 90.20
_cell_angle_beta 81.14
_cell_angle_gamma 114.65
loop_
_atom_site_label
_atom_site_fract_x
_atom_site_fract_y
_atom_site_fract_z
Rh1 0.2209 0.5306 0.7454
Tc1 0.7974 0.8191 0.8002
Tc2 0.6779 0.2583 0.6829
Ba1 0.8731 0.3595 0.0812
Rh2 0.3381 0.0908 0.9149
Ba2 0.1798 0.0073 0.4693
# E_form: 0.2018 eV per atom
# Crystal system: triclinic

(12)
# CaAlIr2 (PBE, relaxed)
data_CaAlIr2
_chemical_formula_sum 'Ca1 Al1 Ir2'
_symmetry_space_group_name_H-M 'P 1'
_symmetry_Int_Tables_number 1
_symmetry_space_group_name_Hall 'P 1'
_cell_length_a 5.3640
_cell_length_b 5.2433
_cell_length_c 2.8708
_cell_angle_alpha 76.59
_cell_angle_beta 85.30
_cell_angle_gamma 119.28
loop_
_atom_site_label
_atom_site_fract_x
_atom_site_fract_y
_atom_site_fract_z
Ir1 0.0000 0.0000 0.0000
Ca1 0.5000 0.5000 0.0000
Al1 0.0000 0.5000 0.5000
Ir2 0.5000 0.0000 0.5000
# E_form: -0.1049 eV per atom
# Crystal system: monoclinic